(1)
Below is a relaxed structure of ZrBr, with properties calculated at the GGA-PBEsol level.

a b c (Å): 3.474 3.474 9.716
angles (deg): 90.06 100.23 120.02
Sites, in units of the cell vectors:
Br1 0.287 0.893 0.180
Br2 0.713 0.107 0.820
Zr1 0.085 0.292 0.377
Zr2 0.915 0.708 0.623

## Properties
* uncorrected formation energy: -1.031 eV/atom
* polymorph energy (0 for the lowest one): 0 meV/atom
* Fermi-level density of states: 0.1797 states/eV/atom

***

(2)
Below is a relaxed structure of ZrBr4, with properties calculated at the GGA-PBEsol level.

a b c (Å): 3.671 3.671 10.611
angles (deg): 99.96 99.96 90.00
Sites, in units of the cell vectors:
Br1 0.250 0.750 0.500
Br2 0.577 0.577 0.153
Br3 0.750 0.250 0.500
Br4 0.423 0.423 0.847
Zr1 0.000 0.000 0.000

## Properties
* uncorrected formation energy: -0.337 eV/atom
* Fermi-level density of states: 0.3128 states/eV/atom

***

(3)
Below is a relaxed structure of ZrBr, with properties calculated at the GGA-PBEsol level.

a b c (Å): 3.394 3.394 9.731
angles (deg): 90.00 90.00 120.00
Sites, in units of the cell vectors:
Zr1 0.667 0.333 0.373
Zr2 0.333 0.667 0.627
Br1 0.667 0.333 0.824
Br2 0.333 0.667 0.176

## Properties
* uncorrected formation energy: -0.975 eV/atom
* polymorph energy (0 for the lowest one): 56 meV/atom
* Fermi-level density of states: 0.5738 states/eV/atom

***

(4)
Below is a relaxed structure of ZrBr, with properties calculated at the GGA-PBEsol level.

a b c (Å): 4.035 4.035 6.468
angles (deg): 90.00 90.00 90.00
Sites, in units of the cell vectors:
Br1 0.500 0.000 0.301
Br2 0.000 0.500 0.699
Zr1 0.000 0.000 0.000
Zr2 0.500 0.500 0.000

## Properties
* uncorrected formation energy: -0.579 eV/atom
* polymorph energy (0 for the lowest one): 452 meV/atom
* Fermi-level density of states: 0.4847 states/eV/atom

***

(5)
Below is a relaxed structure of C, with properties calculated at the GGA-PBEsol level.

a b c (Å): 2.461 2.461 7.137
angles (deg): 90.00 90.00 120.00
Sites, in units of the cell vectors:
C1 0.667 0.333 0.250
C2 0.000 0.000 0.750
C3 0.000 0.000 0.250
C4 0.333 0.667 0.750

## Properties
* formation energy from the elements: 0.000 eV per atom
* polymorph energy (0 for the lowest one): 0 meV/atom

***

(6)
Below is a relaxed structure of C, with properties calculated at the GGA-PBEsol level.

a b c (Å): 2.515 2.515 2.515
angles (deg): 60.00 60.00 60.00
Sites, in units of the cell vectors:
C1 0.250 0.250 0.250
C2 0.000 0.000 0.000

## Properties
* formation energy from the elements: 0.019 eV per atom
* polymorph energy (0 for the lowest one): 19 meV/atom
* Fermi-level density of states: 0.0000 states/eV/atom

***

(7)
Below is a relaxed structure of C, with properties calculated at the GGA-PBEsol level.

a b c (Å): 3.665 3.665 6.738
angles (deg): 90.00 90.00 96.07
Sites, in units of the cell vectors:
C1 0.500 0.000 0.101
C2 0.500 0.000 0.899
C3 0.126 0.874 0.181
C4 0.000 0.500 0.899
C5 0.126 0.874 0.819
C6 0.874 0.126 0.181
C7 0.874 0.126 0.819
C8 0.000 0.500 0.101

## Properties
* formation energy from the elements: 0.921 eV per atom
* polymorph energy (0 for the lowest one): 921 meV/atom
* Fermi-level density of states: 0.0615 states/eV/atom

***

(8)
Below is a relaxed structure of C, with properties calculated at the GGA-PBEsol level.

a b c (Å): 2.462 2.461 3.816
angles (deg): 80.72 71.18 59.99
Sites, in units of the cell vectors:
C1 0.667 0.667 0.000
C2 0.333 0.333 0.000

## Properties
* formation energy from the elements: 0.001 eV per atom
* polymorph energy (0 for the lowest one): 1 meV/atom
* Fermi-level density of states: 0.0057 states/eV/atom

***

(9)
Below is a relaxed structure of C, with properties calculated at the GGA-PBEsol level.

a b c (Å): 3.855 3.855 3.855
angles (deg): 109.47 109.47 109.47
Sites, in units of the cell vectors:
C1 0.311 0.000 0.000
C2 0.000 0.500 0.189
C3 0.189 0.189 0.689
C4 0.811 0.811 0.311
C5 0.689 0.000 0.000
C6 0.500 0.311 0.500
C7 0.000 0.500 0.811
C8 0.500 0.689 0.500

## Properties
* formation energy from the elements: 0.696 eV per atom
* polymorph energy (0 for the lowest one): 696 meV/atom
* Fermi-level density of states: 0.0000 states/eV/atom

***

(10)
Below is a relaxed structure of C, with properties calculated at the GGA-PBEsol level.

a b c (Å): 2.461 2.461 3.836
angles (deg): 90.00 90.00 120.00
Sites, in units of the cell vectors:
C1 0.333 0.667 0.000
C2 0.667 0.333 0.000

## Properties
* formation energy from the elements: 0.003 eV per atom
* polymorph energy (0 for the lowest one): 3 meV/atom
* Fermi-level density of states: 0.0016 states/eV/atom

***

(11)
Below is a relaxed structure of C, with properties calculated at the GGA-PBEsol level.

a b c (Å): 2.461 2.461 3.797
angles (deg): 71.09 71.09 60.00
Sites, in units of the cell vectors:
C1 0.833 0.833 0.500
C2 0.167 0.167 0.500

## Properties
* formation energy from the elements: 0.000 eV per atom
* polymorph energy (0 for the lowest one): 0 meV/atom
* Fermi-level density of states: 0.0013 states/eV/atom

***

(12)
Below is a relaxed structure of C, with properties calculated at the GGA-PBEsol level.

a b c (Å): 2.503 4.236 4.851
angles (deg): 115.89 90.00 90.00
Sites, in units of the cell vectors:
C1 0.000 0.982 0.333
C2 0.000 0.648 0.667
C3 0.000 0.352 0.333
C4 0.500 0.226 0.822
C5 0.500 0.774 0.178
C6 0.500 0.595 0.822
C7 0.000 0.018 0.667
C8 0.500 0.405 0.178

## Properties
* formation energy from the elements: 0.154 eV per atom
* polymorph energy (0 for the lowest one): 154 meV/atom
* Fermi-level density of states: 0.0000 states/eV/atom

***

(13)
Below is a relaxed structure of C, with properties calculated at the GGA-PBEsol level.

a b c (Å): 2.461 2.461 25.106
angles (deg): 90.00 90.00 120.00
Sites, in units of the cell vectors:
C1 0.667 0.333 0.571
C2 0.000 0.000 0.571
C3 0.000 0.000 0.429
C4 0.333 0.667 0.429

## Properties
* formation energy from the elements: 0.001 eV per atom
* polymorph energy (0 for the lowest one): 1 meV/atom
* Fermi-level density of states: 0.0026 states/eV/atom

***

(14)
Below is a relaxed structure of CaC, with properties calculated at the GGA-PBEsol level.

a b c (Å): 3.927 5.221 5.221
angles (deg): 103.11 90.00 90.00
Sites, in units of the cell vectors:
C1 0.000 0.138 0.467
C2 0.000 0.323 0.323
C3 0.000 0.467 0.138
Ca1 0.500 0.772 0.361
Ca2 0.000 0.940 0.940
Ca3 0.500 0.361 0.772

## Properties
* formation energy from the elements: 0.077 eV per atom
* polymorph energy (0 for the lowest one): 58 meV/atom
* Fermi-level density of states: 0.0827 states/eV/atom

***

(15)
Below is a relaxed structure of CaC2, with properties calculated at the GGA-PBEsol level.

a b c (Å): 4.276 4.276 6.739
angles (deg): 90.00 90.00 120.00
Sites, in units of the cell vectors:
Ca1 0.333 0.667 0.500
C1 0.000 0.000 0.594
C2 0.000 0.000 0.406

## Properties
* formation energy from the elements: 0.604 eV per atom
* polymorph energy (0 for the lowest one): 633 meV/atom
* Fermi-level density of states: 0.0000 states/eV/atom

***

(16)
Below is a relaxed structure of CaC, with properties calculated at the GGA-PBEsol level.

a b c (Å): 4.288 4.288 4.988
angles (deg): 64.54 64.54 60.00
Sites, in units of the cell vectors:
Ca1 0.753 0.753 0.741
Ca2 0.247 0.247 0.259
C1 0.949 0.949 0.154
C2 0.051 0.051 0.846

## Properties
* formation energy from the elements: 0.019 eV per atom
* polymorph energy (0 for the lowest one): 0 meV/atom
* Fermi-level density of states: 0.2910 states/eV/atom

***

(17)
Below is a relaxed structure of CaC4, with properties calculated at the GGA-PBEsol level.

a b c (Å): 3.530 3.530 3.891
angles (deg): 90.00 90.00 90.00
Sites, in units of the cell vectors:
C1 0.798 0.500 0.000
C2 0.500 0.202 0.000
C3 0.202 0.500 0.000
C4 0.500 0.798 0.000
Ca1 0.000 0.000 0.500

## Properties
* formation energy from the elements: 0.244 eV per atom
* Fermi-level density of states: 0.2414 states/eV/atom

***

(18)
Below is a relaxed structure of Ca2C3, with properties calculated at the GGA-PBEsol level.

a b c (Å): 3.821 6.230 7.204
angles (deg): 85.34 74.62 72.14
Sites, in units of the cell vectors:
Ca1 0.061 0.584 0.185
Ca2 0.995 0.084 0.315
Ca3 0.829 0.416 0.815
Ca4 0.395 0.916 0.685
C1 0.549 0.776 0.015
C2 0.075 0.724 0.515
C3 0.340 0.224 0.985
C4 0.471 0.000 0.000
C5 0.314 0.276 0.485
C6 0.221 0.500 0.500

## Properties
* formation energy from the elements: -0.010 eV per atom

***

(19)
Below is a relaxed structure of CaC, with properties calculated at the GGA-PBEsol level.

a b c (Å): 2.999 2.999 14.428
angles (deg): 90.00 90.00 120.00
Sites, in units of the cell vectors:
C1 0.667 0.333 0.250
C2 0.000 0.000 0.750
C3 0.000 0.000 0.250
C4 0.333 0.667 0.750
Ca1 0.667 0.333 0.620
Ca2 0.333 0.667 0.120
Ca3 0.333 0.667 0.380
Ca4 0.667 0.333 0.880

## Properties
* formation energy from the elements: 0.771 eV per atom
* polymorph energy (0 for the lowest one): 752 meV/atom
* Fermi-level density of states: 0.5586 states/eV/atom

***

(20)
Below is a relaxed structure of CaC2, with properties calculated at the GGA-PBEsol level.

a b c (Å): 3.689 3.689 5.965
angles (deg): 108.01 108.01 90.00
Sites, in units of the cell vectors:
C1 0.439 0.439 0.877
C2 0.689 0.189 0.377
C3 0.561 0.561 0.123
C4 0.811 0.311 0.623
Ca1 0.250 0.750 0.500
Ca2 0.000 0.000 0.000

## Properties
* formation energy from the elements: 0.442 eV per atom
* polymorph energy (0 for the lowest one): 471 meV/atom
* Fermi-level density of states: 0.0618 states/eV/atom